The following is a DFT calculation (GGA-PBEsol) of crystalline LiZnCd2 at its relaxed geometry.

Computed properties:
Energy of formation ... -0.12 eV per atom
Space group ... P4mm (99)

Geometry as POSCAR:
```
LiZnCd2
1.0
-2.305 -0.663 -2.198
2.234 -1.366 -1.931
-1.052 -5.716 2.827
Cd Li Zn
2 1 1
Direct
0.000 0.000 0.979
0.500 0.500 0.280
0.000 0.000 0.519
0.500 0.500 0.722
```

=====

The following is a DFT calculation (GGA-PBEsol) of crystalline Li2ZnCd at its relaxed geometry.

Computed properties:
Energy of formation ... -0.23 eV per atom
Space group ... F-43m (216)

Geometry as POSCAR:
```
Li2ZnCd
1.0
4.479 0.000 0.000
2.239 3.879 0.000
2.239 1.293 3.657
Zn Li Cd
1 2 1
Direct
0.250 0.250 0.250
0.000 0.000 0.000
0.750 0.750 0.750
0.500 0.500 0.500
```

=====

The following is a DFT calculation (GGA-PBEsol) of crystalline LiZnCd at its relaxed geometry.

Computed properties:
Energy of formation ... -0.16 eV per atom
ΔE to the lowest computed polymorph ... 0.0 kJ per mole of atoms
Space group ... Imm2 (44)

Geometry as POSCAR:
```
LiZnCd
1.0
-2.795 1.065 1.126
-1.589 -1.413 -2.609
1.698 -3.604 3.089
Li Cd Zn
1 1 1
Direct
0.675 0.675 0.349
0.003 0.003 0.005
0.323 0.323 0.645
```

=====

The following is a DFT calculation (GGA-PBEsol) of crystalline Li2ZrCd at its relaxed geometry.

Computed properties:
Energy of formation ... 0.06 eV per atom
Space group ... P4/mmm (123)

Geometry as POSCAR:
```
Li2ZrCd
1.0
2.902 0.000 0.000
0.000 2.902 0.000
0.000 0.000 8.897
Cd Zr Li
1 1 2
Direct
0.500 0.500 0.500
0.500 0.500 0.000
0.000 0.000 0.728
0.000 0.000 0.272
```

=====

The following is a DFT calculation (GGA-PBEsol) of crystalline Li2ZrCd at its relaxed geometry.

Computed properties:
Energy of formation ... 0.03 eV per atom
Space group ... C2/m (12)

Geometry as POSCAR:
```
Li2ZrCd
1.0
-0.043 -2.714 -0.636
4.587 1.699 -1.450
1.578 -1.239 5.186
Li Cd Zr
2 1 1
Direct
0.745 0.489 0.734
0.255 0.511 0.266
0.000 0.000 0.500
0.500 0.000 0.000
```

=====

The following is a DFT calculation (GGA-PBEsol) of crystalline Li2ZrCd at its relaxed geometry.

Computed properties:
Energy of formation ... 0.20 eV per atom
Space group ... P4/mmm (123)

Geometry as POSCAR:
```
Li2ZrCd
1.0
4.128 0.000 0.000
0.000 4.128 0.000
0.000 0.000 4.608
Cd Li Zr
1 2 1
Direct
0.000 0.000 0.500
0.000 0.500 0.000
0.500 0.000 0.000
0.500 0.500 0.500
```

=====

Question: What is the formula in the sixth record?
Answer: Li2ZrCd

=====

Question: What is the energy of formation in the sixth record?
Answer: 0.20 eV per atom

=====

Question: Which value of energy of formation does entry 3 give?
Answer: -0.16 eV per atom